No. 1
First-principles (PBE) data for a relaxed NdBrF2 crystal, as listed in Alexandria via LeMat-Bulk.

Cell and atoms, written as extended XYZ:
```
16
Lattice="3.959 0.000 0.000 0.000 10.878 0.000 0.000 0.000 7.204" Properties=species:S:1:pos:R:3 pbc="T T T"
Nd 0.000 2.598 1.801
Nd 0.000 8.280 5.403
Nd 1.980 2.841 5.403
Nd 1.980 8.037 1.801
Br 0.000 0.485 5.403
Br 0.000 10.393 1.801
Br 1.980 4.954 1.801
Br 1.980 5.924 5.403
F 0.000 3.391 4.099
F 0.000 3.391 6.707
F 0.000 7.487 0.497
F 0.000 7.487 3.105
F 1.980 2.048 0.497
F 1.980 2.048 3.105
F 1.980 8.830 4.099
F 1.980 8.830 6.707
```

Calculated values
Calculated volume in Å³/atom: 19.39
Energy in Ha/atom: -0.217
M_tot in μB/f.u.: 0.00
N(E_F) in states/eV/cell: 0.00
Uncorrected formation energy in eV per atom: -3.3483

No. 2
First-principles (PBE) data for a relaxed NdBr2F crystal, as listed in Alexandria via LeMat-Bulk.

Cell and atoms, written as extended XYZ:
```
8
Lattice="7.199 0.000 0.000 0.000 4.156 0.000 -2.294 0.000 7.596" Properties=species:S:1:pos:R:3 pbc="T T T"
Nd 0.000 0.000 0.000
Nd 3.599 2.078 0.000
Br 0.105 0.000 5.636
Br 2.399 0.000 1.960
Br 3.704 2.078 5.636
Br 5.999 2.078 1.960
F -1.095 2.078 7.595
F 2.505 0.000 7.595
```

Calculated values
Calculated volume in Å³/atom: 28.41
Energy in Ha/atom: -0.189
M_tot in μB/f.u.: 0.00
N(E_F) in states/eV/cell: 0.00
Uncorrected formation energy in eV per atom: -2.6449

No. 3
First-principles (PBE) data for a relaxed NdBrF crystal, as listed in Alexandria via LeMat-Bulk.

Cell and atoms, written as extended XYZ:
```
3
Lattice="4.357 0.000 0.000 -2.179 3.774 0.000 0.000 0.000 3.833" Properties=species:S:1:pos:R:3 pbc="T T T"
Nd 0.000 0.000 0.000
Br 2.179 1.258 1.916
F 0.000 2.516 0.000
```

Calculated values
Calculated volume in Å³/atom: 21.01
Energy in Ha/atom: -0.192
M_tot in μB/f.u.: 0.00
N(E_F) in states/eV/cell: 0.93
Uncorrected formation energy in eV per atom: -2.4414

No. 4
First-principles (PBE) data for a relaxed NdBrF crystal, as listed in Alexandria via LeMat-Bulk.

Cell and atoms, written as extended XYZ:
```
6
Lattice="4.925 0.000 0.000 0.000 4.676 0.000 -1.551 0.000 5.930" Properties=species:S:1:pos:R:3 pbc="T T T"
Nd 0.198 1.169 2.144
Nd 3.177 3.507 3.786
Br -0.281 1.169 5.117
Br 3.655 3.507 0.812
F 0.861 3.507 3.097
F 2.513 1.169 2.832
```

Calculated values
Calculated volume in Å³/atom: 22.76
Energy in Ha/atom: -0.191
M_tot in μB/f.u.: 0.00
N(E_F) in states/eV/cell: 3.10
Uncorrected formation energy in eV per atom: -2.4318

No. 5
First-principles (PBE) data for a relaxed Nd8Os3Br4F crystal, as listed in Alexandria via LeMat-Bulk.

Cell and atoms, written as extended XYZ:
```
16
Lattice="7.114 -4.110 0.000 7.114 4.110 0.000 -4.737 0.000 7.824" Properties=species:S:1:pos:R:3 pbc="T T T"
Nd 3.525 2.117 5.440
Nd 0.005 0.000 5.475
Nd 5.966 2.117 2.384
Nd 2.305 0.000 2.387
Nd 7.185 0.000 5.437
Nd 3.525 -2.117 5.440
Nd 9.486 0.000 2.349
Nd 5.966 -2.117 2.384
Os -2.368 0.000 3.912
Os 1.188 2.055 3.912
Os 1.188 -2.055 3.912
Br 0.000 0.000 0.000
Br 3.557 2.055 0.000
Br 3.557 -2.055 0.000
Br 7.114 0.000 0.000
F 4.745 0.000 3.912
```

Calculated values
Calculated volume in Å³/atom: 28.60
Energy in Ha/atom: -0.220
M_tot in μB/f.u.: 0.00
N(E_F) in states/eV/cell: 7.15
Uncorrected formation energy in eV per atom: -0.9546

No. 6
First-principles (PBE) data for a relaxed Nd8Rh3Br4F crystal, as listed in Alexandria via LeMat-Bulk.

Cell and atoms, written as extended XYZ:
```
16
Lattice="7.105 -4.097 0.000 7.105 4.097 0.000 -4.735 0.000 7.838" Properties=species:S:1:pos:R:3 pbc="T T T"
Nd 3.521 2.104 5.469
Nd 0.000 0.000 5.445
Nd 2.295 0.000 2.362
Nd 5.954 2.104 2.369
Nd 3.521 -2.104 5.469
Nd 7.180 0.000 5.476
Nd 9.475 0.000 2.392
Nd 5.954 -2.104 2.369
Rh -2.368 0.000 3.919
Rh 1.185 2.049 3.919
Rh 1.185 -2.049 3.919
Br 0.000 0.000 0.000
Br 3.553 2.049 0.000
Br 3.553 -2.049 0.000
Br 7.105 0.000 0.000
F 4.737 0.000 3.919
```

Calculated values
Calculated volume in Å³/atom: 28.52
Energy in Ha/atom: -0.202
M_tot in μB/f.u.: 0.00
N(E_F) in states/eV/cell: 7.38
Uncorrected formation energy in eV per atom: -1.2007

No. 7
First-principles (PBE) data for a relaxed Nd6Ru2Br3F crystal, as listed in Alexandria via LeMat-Bulk.

Cell and atoms, written as extended XYZ:
```
12
Lattice="3.512 -6.094 0.000 3.512 6.094 0.000 -2.348 0.000 7.855" Properties=species:S:1:pos:R:3 pbc="T T T"
Nd -0.040 2.090 6.317
Nd 1.111 0.000 1.521
Nd -0.040 -2.090 6.317
Nd 4.716 2.090 1.538
Nd 3.565 0.000 6.334
Nd 4.716 -2.090 1.538
Ru 3.512 4.063 0.000
Ru 3.512 -4.063 0.000
Br -1.174 0.000 3.927
Br 2.338 2.068 3.927
Br 2.338 -2.068 3.927
F 3.512 0.000 0.000
```

Calculated values
Calculated volume in Å³/atom: 28.01
Energy in Ha/atom: -0.208
M_tot in μB/f.u.: 0.00
N(E_F) in states/eV/cell: 1.66
Uncorrected formation energy in eV per atom: -1.1527

No. 8
First-principles (PBE) data for a relaxed Nd8Ru3Br4F crystal, as listed in Alexandria via LeMat-Bulk.

Cell and atoms, written as extended XYZ:
```
16
Lattice="4.064 2.346 7.867 -4.064 2.346 7.867 0.000 -4.693 7.867" Properties=species:S:1:pos:R:3 pbc="T T T"
Nd -2.082 -1.202 13.333
Nd 0.000 0.000 5.509
Nd 0.000 -2.404 10.267
Nd -2.082 1.202 10.267
Nd 2.082 -1.202 13.333
Nd 0.000 2.404 13.333
Nd 0.000 0.000 18.091
Nd 2.082 1.202 10.267
Ru -4.064 0.000 11.800
Ru -2.032 1.173 3.933
Ru 2.032 1.173 3.933
Br 0.000 0.000 0.000
Br -2.032 -1.173 7.867
Br -2.032 1.173 15.733
Br 0.000 2.346 7.867
F 0.000 0.000 11.800
```

Calculated values
Calculated volume in Å³/atom: 28.13
Energy in Ha/atom: -0.209
M_tot in μB/f.u.: 0.00
N(E_F) in states/eV/cell: 6.61
Uncorrected formation energy in eV per atom: -1.0316